Entry 1:
The following is a DFT calculation (PBE) of a relaxed UAsP2Ru5 crystal.

space group	P4/mmm, No. 123
energy of formation from the pure elements	-0.2596	eV/atom
crystal system	tetragonal

Cell and atoms, written as POSCAR:
```
UAsP2Ru5
1.0
-0.298 3.962 0.614
-3.737 -0.498 1.396
3.479 -1.119 8.913
Ru As P U
5 1 2 1
Cartesian
-1.339 -0.419 2.055 Ru
0.381 1.810 1.664 Ru
2.800 1.032 7.863 Ru
1.081 -1.198 8.254 Ru
-0.278 1.172 5.462 Ru
0.000 0.000 0.000 As
-1.100 1.437 3.355 P
0.544 0.908 7.568 P
1.739 -0.560 4.457 U
```

---

Entry 2:
The following is a DFT calculation (PBE) of a relaxed Cu3TeCl crystal.

space group	Pm-3m, No. 221
formation energy (no corrections)	427	meV/atom
crystal system	cubic

Cell and atoms, written as POSCAR:
```
Cu3TeCl
1.0
-4.057 1.281 -1.687
-0.021 -3.669 -2.736
-2.118 -2.418 3.258
Cu Te Cl
3 1 1
Cartesian
-0.011 -1.835 -1.368 Cu
-1.059 -1.209 1.629 Cu
-2.029 0.641 -0.844 Cu
-3.098 -2.403 -0.582 Te
0.000 0.000 0.000 Cl
```

---

no.,DFT total energy (Ry/atom)
1,-0.61635
2,-0.22258